1.
VASP calculation (PBE-GGA) on PmDySb after structural relaxation.

Cell lengths 5.090, 5.090, 4.110 Å; angles 90.00, 90.00, 120.00 degrees
Positions (direct):
1 Pm 0.000 0.000 0.000
2 Dy 0.333 0.667 0.476
3 Sb 0.667 0.333 0.655

Output
Raw total energy   -4.9435 eV per atom
D(E_F)   0.954 states/eV/atom
Formation energy without anion corrections   -0.45 eV/atom
Relative energy among the computed polymorphs   0.380 eV/atom
Total magnetization   0.00 μB per formula unit

---

2.
VASP calculation (PBE-GGA) on Er5CoAg2 after structural relaxation.

Cell lengths 8.568, 11.658, 4.029 Å; angles 90.00, 90.00, 90.00 degrees
Positions (direct):
1 Er 0.000 0.000 0.000
2 Er 0.147 0.306 0.000
3 Er 0.177 0.573 0.500
4 Er 0.323 0.073 0.500
5 Er 0.353 0.806 0.000
6 Er 0.500 0.500 0.000
7 Er 0.647 0.194 0.000
8 Er 0.677 0.927 0.500
9 Er 0.823 0.427 0.500
10 Er 0.853 0.694 0.000
11 Co 0.000 0.500 0.000
12 Co 0.500 0.000 0.000
13 Ag 0.069 0.825 0.500
14 Ag 0.431 0.325 0.500
15 Ag 0.569 0.675 0.500
16 Ag 0.931 0.175 0.500

Output
Raw total energy   -4.6742 eV per atom
D(E_F)   0.966 states/eV/atom
Energy of formation   -221 meV/atom
Total magnetization   0.00 μB per formula unit

---

3.
VASP calculation (PBE-GGA) on LaHf2AgHg after structural relaxation.

Cell lengths 5.290, 5.290, 5.743 Å; angles 90.00, 90.00, 90.00 degrees
Positions (direct):
1 La 0.000 0.000 0.000
2 Hf 0.000 0.500 0.000
3 Hf 0.500 0.000 0.000
4 Ag 0.500 0.500 0.500
5 Hg 0.000 0.000 0.500

Output
Raw total energy   -4.0472 eV per atom
D(E_F)   0.730 states/eV/atom
Energy of formation   1550 meV/atom
Total magnetization   0.00 μB per formula unit